Computed, not measured: crystalline Li3BiB2O6 at its relaxed geometry at the PBE level of DFT.

Uncorrected formation energy ... -2.0438 eV/atom
SG ... P-1, No. 2
E ... -6.44 eV/atom

abc: 4.798 7.709 8.824
angles: 109.69 91.57 92.85
Sites, in units of the cell vectors:
Li  0.048  0.140  0.247
Li  0.235  0.830  0.246
Li  0.321  0.092  0.623
Li  0.679  0.908  0.377
Li  0.765  0.170  0.754
Li  0.952  0.860  0.753
Bi  0.381  0.542  0.798
Bi  0.619  0.458  0.202
B  0.280  0.228  0.951
B  0.453  0.770  0.551
B  0.547  0.230  0.449
B  0.720  0.772  0.049
O  0.115  0.122  0.823
O  0.214  0.288  0.115
O  0.277  0.714  0.650
O  0.349  0.085  0.392
O  0.407  0.692  0.382
O  0.457  0.699  0.073
O  0.543  0.301  0.927
O  0.593  0.308  0.618
O  0.651  0.915  0.608
O  0.723  0.286  0.350
O  0.786  0.712  0.885
O  0.885  0.878  0.177

***

Computed, not measured: crystalline Li2BiBO4 at its relaxed geometry at the PBE level of DFT.

Uncorrected formation energy ... -1.8809 eV/atom
SG ... Pnma, No. 62
E ... -6.16 eV/atom

abc: 10.356 6.813 4.853
angles: 90.00 90.00 90.00
Sites, in units of the cell vectors:
Li  0.162  0.003  0.224
Li  0.162  0.497  0.224
Li  0.338  0.503  0.724
Li  0.338  0.997  0.724
Li  0.662  0.003  0.276
Li  0.662  0.497  0.276
Li  0.838  0.503  0.776
Li  0.838  0.997  0.776
Bi  0.098  0.750  0.738
Bi  0.402  0.250  0.238
Bi  0.598  0.750  0.762
Bi  0.902  0.250  0.262
B  0.098  0.250  0.733
B  0.402  0.750  0.233
B  0.598  0.250  0.767
B  0.902  0.750  0.267
O  0.047  0.750  0.192
O  0.102  0.250  0.413
O  0.163  0.073  0.837
O  0.163  0.427  0.837
O  0.337  0.573  0.337
O  0.337  0.927  0.337
O  0.398  0.750  0.913
O  0.453  0.250  0.692
O  0.547  0.750  0.308
O  0.602  0.250  0.087
O  0.663  0.073  0.663
O  0.663  0.427  0.663
O  0.837  0.573  0.163
O  0.837  0.927  0.163
O  0.898  0.750  0.587
O  0.953  0.250  0.808

***

Computed, not measured: crystalline Li3BiB2O6 at its relaxed geometry at the PBE level of DFT.

Uncorrected formation energy ... -2.0488 eV/atom
SG ... P-1, No. 2
E ... -6.44 eV/atom

abc: 5.207 7.689 8.318
angles: 106.48 96.00 90.22
Sites, in units of the cell vectors:
Li  0.038  0.005  0.204
Li  0.176  0.625  0.706
Li  0.329  0.372  0.438
Li  0.671  0.628  0.562
Li  0.824  0.375  0.294
Li  0.962  0.995  0.796
Bi  0.467  0.298  0.803
Bi  0.533  0.702  0.197
B  0.123  0.725  0.404
B  0.289  0.252  0.098
B  0.711  0.748  0.902
B  0.877  0.275  0.596
O  0.136  0.339  0.622
O  0.142  0.250  0.223
O  0.197  0.854  0.328
O  0.239  0.137  0.935
O  0.303  0.646  0.492
O  0.493  0.625  0.877
O  0.507  0.375  0.123
O  0.697  0.354  0.508
O  0.761  0.863  0.065
O  0.803  0.146  0.672
O  0.858  0.750  0.777
O  0.864  0.661  0.378